## KY2N (GGA-PBE)

Data for crystalline KY2N at its relaxed geometry.

- total DFT energy (no corrections) (eV/atom) = -5.969
- space group = No. 122
- formation energy from raw total energies (eV per atom) = -0.381

Cell lengths 7.3900, 7.3900, 10.4380 Å; angles 90.00, 90.00, 90.00 degrees
With the nearest neighbours (Å) after each atom.
Atoms (fractional coordinates):
K 0.0000 0.0000 0.0000  12 Y 4.33-4.34, 4 K 4.52, 4 N 4.52
K 0.0000 0.5000 0.2500  12 Y 4.33-4.34, 4 K 4.52, 4 N 4.52
K 0.5000 0.0000 0.7500  12 Y 4.33-4.34, 4 K 4.52, 4 N 4.52
K 0.5000 0.5000 0.5000  12 Y 4.33-4.34, 4 K 4.52, 4 N 4.52
Y 0.0010 0.2500 0.6250  2 N 2.26
Y 0.2500 0.5010 0.8750  2 N 2.26
Y 0.2500 0.9990 0.3750  2 N 2.26
Y 0.4990 0.2500 0.1250  2 N 2.26
Y 0.5010 0.7500 0.1250  2 N 2.26
Y 0.7500 0.0010 0.3750  2 N 2.26
Y 0.7500 0.4990 0.8750  2 N 2.26
Y 0.9990 0.7500 0.6250  2 N 2.26
N 0.0000 0.0000 0.5000  4 Y 2.26
N 0.0000 0.5000 0.7500  4 Y 2.26
N 0.5000 0.0000 0.2500  4 Y 2.26
N 0.5000 0.5000 0.0000  4 Y 2.26

## KY2N (GGA-PBE)

Data for crystalline KY2N at its relaxed geometry.

- total DFT energy (no corrections) (eV/atom) = -6.162
- space group = No. 166
- formation energy from raw total energies (eV per atom) = -0.574

Cell lengths 3.5570, 3.5570, 30.5343 Å; angles 90.00, 90.00, 120.00 degrees
With the nearest neighbours (Å) after each atom.
Atoms (fractional coordinates):
K 0.0000 0.0000 0.0000  6 K 3.56, 2 Y 3.77
K 0.3333 0.6667 0.6667  6 K 3.56, 2 Y 3.77
K 0.6667 0.3333 0.3333  6 K 3.56, 2 Y 3.77
Y 0.0000 0.0000 0.1236  3 N 2.44
Y 0.0000 0.0000 0.8764  3 N 2.44
Y 0.3333 0.6667 0.5431  3 N 2.44
Y 0.3333 0.6667 0.7903  3 N 2.44
Y 0.6667 0.3333 0.2097  3 N 2.44
Y 0.6667 0.3333 0.4569  3 N 2.44
N 0.0000 0.0000 0.5000  6 Y 2.44
N 0.3333 0.6667 0.1667  6 Y 2.44
N 0.6667 0.3333 0.8333  6 Y 2.44

| no. | DOS at the Fermi energy (states/eV/atom) | total moment (μB/f.u.) |
| --- | --- | --- |
| 1 | 1.052 | 0.00 |
| 2 | 0.749 | 1.28 |